(P)
Compound: ScCr2Ir
Source: Alexandria
Functional: GGA-PBE
Structure: relaxed

V: 14.3 Å³ per atom
space group: P2/m
Fermi-level density of states: 3.69 states/eV per cell

abc: 4.3403 2.7394 4.9444
angles: 77.50 90.00 90.00
Last column: nearest neighbours and their distance in Å.
Positions (direct):
1 Sc 0.5000 0.7500 0.7500  2 Ir 2.55, 4 Cr 2.66, 2 Sc 2.74
2 Cr 0.0000 0.4796 0.5092  2 Cr 2.44-2.67, 2 Sc 2.66, 2 Ir 2.66
3 Cr 0.0000 0.0204 0.9908  2 Cr 2.44-2.67, 2 Sc 2.66, 2 Ir 2.66
4 Ir 0.5000 0.2500 0.2500  2 Sc 2.55, 4 Cr 2.66, 2 Ir 2.74

***

(Q)
Compound: ScCr2Ir
Source: Alexandria
Functional: GGA-PBE
Structure: relaxed

V: 14.4 Å³ per atom
space group: C2/m
Fermi-level density of states: 4.05 states/eV per cell

abc: 5.1521 5.1521 4.2231
angles: 65.87 65.87 34.56
Last column: nearest neighbours and their distance in Å.
Positions (direct):
1 Cr 0.0043 0.0043 0.9943  4 Cr 2.60-2.62, 2 Ir 2.67, 2 Sc 2.73
2 Ir 0.7500 0.7500 0.7500  4 Sc 2.61, 4 Cr 2.67
3 Cr 0.4957 0.4957 0.5057  4 Cr 2.60-2.62, 2 Ir 2.67, 2 Sc 2.73
4 Sc 0.2500 0.2500 0.2500  4 Ir 2.61, 4 Cr 2.73

***

(R)
Compound: ScCr2Ir
Source: Alexandria
Functional: GGA-PBE
Structure: relaxed

V: 15.5 Å³ per atom
space group: Pmmm
Fermi-level density of states: 5.83 states/eV per cell

abc: 2.7836 4.2115 5.2830
angles: 90.00 90.00 90.00
Last column: nearest neighbours and their distance in Å.
Positions (direct):
1 Sc 0.5000 0.5000 0.7500  2 Ir 2.64, 2 Sc 2.78
2 Cr 0.0000 0.0000 0.0635  1 Cr 1.97
3 Cr 0.0000 0.0000 0.4365  1 Cr 1.97
4 Ir 0.5000 0.5000 0.2500  2 Sc 2.64, 8 Cr 2.71, 2 Ir 2.78

***

The data favor (Q); the next most stable structure lies 0.097 eV/atom above it.

***

(P)
Compound: ScCr2Ir
Source: Alexandria
Functional: GGA-PBE
Structure: relaxed

V: 14.1 Å³ per atom
space group: Fm-3m
Fermi-level density of states: 5.34 states/eV per cell

abc: 4.3043 4.3043 4.3043
angles: 60.00 60.00 60.00
Last column: nearest neighbours and their distance in Å.
Positions (direct):
1 Sc 0.0000 0.0000 0.0000  8 Cr 2.64
2 Cr 0.7500 0.7500 0.7500  4 Ir 2.64, 4 Sc 2.64
3 Cr 0.2500 0.2500 0.2500  4 Ir 2.64, 4 Sc 2.64
4 Ir 0.5000 0.5000 0.5000  8 Cr 2.64

***

(Q)
Compound: ScCr2Ir
Source: Alexandria
Functional: GGA-PBE
Structure: relaxed

V: 14.6 Å³ per atom
space group: Cmm2
Fermi-level density of states: 3.74 states/eV per cell

abc: 2.7681 2.7681 8.1743
angles: 90.00 90.00 111.26
Last column: nearest neighbours and their distance in Å.
Positions (direct):
1 Sc 0.5000 0.5000 0.7509  2 Ir 2.69, 4 Sc 2.77, 2 Cr 2.78
2 Cr 0.5000 0.5000 0.2326  2 Cr 2.26
3 Cr 0.0000 0.0000 0.0327  2 Cr 2.26
4 Ir 0.0000 0.0000 0.4838  2 Cr 2.58, 2 Sc 2.69, 4 Ir 2.77

***

(R)
Compound: ScCr2Ir
Source: Alexandria
Functional: GGA-PBE
Structure: relaxed

V: 16.2 Å³ per atom
space group: I-42d
Fermi-level density of states: 11.65 states/eV per cell

abc: 7.1150 7.1150 5.6443
angles: 50.93 50.93 90.00
Last column: nearest neighbours and their distance in Å.
Positions (direct):
1 Cr 0.6647 0.1250 0.2500  2 Ir 2.41, 2 Cr 2.62
2 Ir 0.0000 0.0000 0.0000  4 Cr 2.41, 2 Sc 2.56
3 Sc 0.5000 0.5000 0.0000  2 Ir 2.56, 4 Cr 2.80
4 Cr 0.0853 0.6250 0.2500  2 Ir 2.41, 2 Cr 2.62
5 Cr 0.3750 0.3353 0.7500  2 Ir 2.41, 2 Cr 2.62
6 Ir 0.7500 0.2500 0.5000  4 Cr 2.41, 2 Sc 2.56
7 Sc 0.2500 0.7500 0.5000  2 Ir 2.56, 4 Cr 2.80
8 Cr 0.8750 0.9147 0.7500  2 Ir 2.41, 2 Cr 2.62

***

(S)
Compound: ScCr2Ir
Source: Alexandria
Functional: GGA-PBE
Structure: relaxed

V: 14.6 Å³ per atom
space group: Imm2
Fermi-level density of states: 3.62 states/eV per cell

abc: 5.0638 5.0638 4.5088
angles: 63.60 63.60 34.93
Last column: nearest neighbours and their distance in Å.
Positions (direct):
1 Cr 0.0240 0.0240 0.9757  2 Cr 2.35
2 Ir 0.4889 0.4889 0.5110  6 Cr 2.66-2.74, 2 Sc 2.73
3 Sc 0.2540 0.2540 0.2461  8 Cr 2.72-2.99, 4 Ir 2.73-3.02, 2 Sc 3.04
4 Cr 0.7331 0.7331 0.7671  2 Cr 2.35

***

The data favor (S); the next most stable structure lies 0.116 eV/atom above it.

***

(P)
Compound: ScCrIr
Source: Alexandria
Functional: GGA-PBE
Structure: relaxed

V: 15.7 Å³ per atom
space group: P3m1
Fermi-level density of states: 3.75 states/eV per cell

abc: 4.3155 4.3155 2.9174
angles: 90.00 90.00 120.00
Last column: nearest neighbours and their distance in Å.
Positions (direct):
1 Cr 0.0000 0.0000 0.0856  3 Ir 2.53, 3 Sc 2.77
2 Ir 0.3333 0.6667 0.2443  3 Cr 2.53, 3 Sc 2.78
3 Sc 0.6667 0.3333 0.6701  6 Cr 2.77-3.02, 6 Ir 2.78-3.00, 2 Sc 2.92

***

(Q)
Compound: ScCrIr
Source: Alexandria
Functional: GGA-PBE
Structure: relaxed

V: 15.8 Å³ per atom
space group: I4mm
Fermi-level density of states: 3.42 states/eV per cell

abc: 5.9061 5.9061 2.9317
angles: 75.63 75.63 28.74
Last column: nearest neighbours and their distance in Å.
Positions (direct):
1 Cr 0.9815 0.9815 0.0185  4 Ir 2.51
2 Sc 0.6655 0.6655 0.3345  4 Cr 2.91, 4 Sc 2.93, 4 Ir 2.93
3 Ir 0.3530 0.3530 0.6470  4 Cr 2.51

***

(R)
Compound: ScCrIr
Source: Alexandria
Functional: GGA-PBE
Structure: relaxed

V: 19.6 Å³ per atom
space group: F-43m
Fermi-level density of states: 4.19 states/eV per cell

abc: 4.3619 4.3619 4.3619
angles: 60.00 60.00 60.00
Last column: nearest neighbours and their distance in Å.
Positions (direct):
1 Cr 0.5000 0.5000 0.5000  4 Ir 2.67
2 Sc 0.0000 0.0000 0.0000  4 Ir 2.67
3 Ir 0.7500 0.7500 0.7500  4 Cr 2.67, 4 Sc 2.67

***

(S)
Compound: ScCrIr
Source: Alexandria
Functional: GGA-PBE
Structure: relaxed

V: 19.5 Å³ per atom
space group: F-43m
Fermi-level density of states: 1.59 states/eV per cell

abc: 4.3551 4.3551 4.3551
angles: 60.00 60.00 60.00
Last column: nearest neighbours and their distance in Å.
Positions (direct):
1 Sc 0.7500 0.7500 0.7500  4 Ir 2.67, 4 Cr 2.67
2 Ir 0.5000 0.5000 0.5000  4 Sc 2.67
3 Cr 0.0000 0.0000 0.0000  4 Sc 2.67

***

The data favor (Q); the next most stable structure lies 0.082 eV/atom above it.